No. 1
LiCSeBr2 meta-GGA SCAN single point on PBEsol structure; distance to the lowest polymorph of the same formula = 0.000 eV per atom; formation energy (no corrections) = 0.545 eV per atom
1.0
5.1709 0.0000 0.0000
0.0000 5.1709 0.0000
0.0000 0.0000 4.0038
Li C Se Br
1 1 1 2
direct
0.0000 0.0000 0.0000
0.5000 0.5000 0.5000
0.5000 0.5000 0.0000
0.0000 0.5000 0.5000
0.5000 0.0000 0.5000

No. 2
LiCSeBr2 meta-GGA SCAN single point on PBEsol structure; distance to the lowest polymorph of the same formula = 0.766 eV per atom; formation energy (no corrections) = 1.311 eV per atom
1.0
4.7184 0.0000 0.0000
0.0000 4.7184 0.0000
0.0000 0.0000 4.6925
Li C Se Br
1 1 1 2
direct
0.0000 0.0000 0.0000
0.5000 0.5000 0.5000
0.0000 0.0000 0.5000
0.0000 0.5000 0.0000
0.5000 0.0000 0.0000

No. 3
LiSi2CBr meta-GGA SCAN single point on PBEsol structure; formation energy (no corrections) = 1.980 eV per atom
1.0
4.4183 0.0000 0.0000
0.0000 4.4183 0.0000
0.0000 0.0000 4.5369
Li Si C Br
1 2 1 1
direct
0.0000 0.0000 0.0000
0.0000 0.5000 0.0000
0.5000 0.0000 0.0000
0.5000 0.5000 0.5000
0.0000 0.0000 0.5000